# 1
PBE ThTa2AlC4, relaxed; E = -0.3411 Ha/atom; density of states at the Fermi level = 2.03 states/eV/f.u.; formation energy from the elements = -0.31 eV/atom
1.0
3.3149 0.0000 0.0000
-1.6575 5.5336 0.0000
0.0000 0.0000 11.1839
Al C Ta Th
2 8 4 2
direct
0.1579 0.3158 0.2500
0.8421 0.6842 0.7500
0.5630 0.1260 0.2500
0.2672 0.5344 0.3876
0.0000 0.0000 0.5000
0.7328 0.4656 0.8876
0.0000 0.0000 0.0000
0.4370 0.8740 0.7500
0.2672 0.5344 0.1124
0.7328 0.4656 0.6125
0.3702 0.7403 0.5429
0.6298 0.2597 0.4571
0.3702 0.7403 0.9571
0.6298 0.2597 0.0429
0.8901 0.7801 0.2500
0.1099 0.2199 0.7500

# 2
PBE BaNa3Fe, relaxed; E = -0.0825 Ha/atom; density of states at the Fermi level = 12.24 states/eV/f.u.; formation energy from the elements = 0.62 eV/atom
1.0
-1.0255 -2.3304 5.0990
2.6699 -4.7611 -1.6390
4.9297 2.0938 1.9484
Ba Na Fe
1 3 1
direct
0.5000 0.5000 0.5000
0.0000 0.5000 0.0000
0.5000 0.0000 0.0000
0.0000 0.0000 0.5000
0.0000 0.0000 0.0000

# 3
PBE LiAg5Au, relaxed; E = -0.0884 Ha/atom; density of states at the Fermi level = 1.49 states/eV/f.u.; formation energy from the elements = 0.37 eV/atom
1.0
-7.5076 -0.1622 -0.1779
0.2332 -3.8495 -6.3321
3.6600 -1.1679 5.1853
Au Ag Li
1 5 1
direct
0.4371 0.5000 0.0000
0.8069 0.5000 0.0000
0.1224 0.3162 0.0000
0.3055 0.1857 0.3714
0.1224 0.6838 0.0000
0.9341 0.8143 0.6286
0.8022 0.0000 0.0000

# 4
PBE FeBi, relaxed; E = -0.2189 Ha/atom; density of states at the Fermi level = 1.45 states/eV/f.u.; formation energy from the elements = 0.21 eV/atom
1.0
-1.7683 -3.7119 -5.6506
3.3941 1.2067 -1.8548
6.1993 -10.1600 4.7341
Bi Fe
8 8
direct
0.0744 0.5000 0.3665
0.9256 0.0000 0.8666
0.5744 0.0000 0.6335
0.4256 0.5000 0.8665
0.5744 0.0000 0.3666
0.4256 0.5000 0.1334
0.0744 0.5000 0.6334
0.9256 0.0000 0.1335
0.7585 0.5000 0.0001
0.0923 0.5000 0.0001
0.9077 0.0000 0.4999
0.4077 0.5000 0.5001
0.5923 0.0000 0.9999
0.2415 0.0000 0.4999
0.7415 0.5000 0.5001
0.2585 0.0000 0.9999

no.,magnetic moment (μB per formula unit)
1,0.00
2,2.12
3,0.00
4,2.10